# 1
HoAl2Zn10 PBE relaxed; E = -2.048 eV per atom; formation enthalpy at 0 K = -0.1402 eV per atom; DOS(E_F) = 5.376 states/eV/cell; energy relative to the lowest polymorph listed for this composition = 0.006 eV per atom
1.0
-4.752 -0.819 4.900
-4.003 -0.277 -5.582
1.143 -8.895 -0.379
Ho Al Zn
2 4 20
direct
0.866 0.134 0.750 Ho
0.134 0.866 0.250 Ho
0.500 0.000 0.000 Al
0.500 0.000 0.500 Al
0.000 0.500 0.500 Al
0.000 0.500 0.000 Al
0.388 0.145 0.750 Zn
0.612 0.855 0.250 Zn
0.855 0.612 0.750 Zn
0.145 0.388 0.250 Zn
0.521 0.770 0.750 Zn
0.479 0.230 0.250 Zn
0.230 0.479 0.750 Zn
0.770 0.521 0.250 Zn
0.851 0.149 0.396 Zn
0.149 0.851 0.896 Zn
0.851 0.149 0.104 Zn
0.149 0.851 0.604 Zn
0.612 0.388 0.937 Zn
0.388 0.612 0.437 Zn
0.612 0.388 0.563 Zn
0.388 0.612 0.063 Zn
0.778 0.778 0.000 Zn
0.222 0.222 0.500 Zn
0.222 0.222 0.000 Zn
0.778 0.778 0.500 Zn

***

# 2
Ho3Al7Zn4 PBE relaxed; E = -3.607 eV per atom; formation enthalpy at 0 K = -0.3910 eV per atom; DOS(E_F) = 5.742 states/eV/cell
1.0
-2.890 -2.551 1.670
3.386 -7.428 -0.200
2.772 -1.568 7.685
Ho Al Zn
3 7 4
direct
0.316 0.179 0.189 Ho
0.684 0.821 0.811 Ho
0.000 0.500 0.500 Ho
0.330 0.813 0.527 Al
0.493 0.220 0.793 Al
0.843 0.390 0.924 Al
0.670 0.187 0.473 Al
0.157 0.610 0.076 Al
0.000 0.000 0.000 Al
0.507 0.780 0.207 Al
0.658 0.454 0.231 Zn
0.342 0.546 0.769 Zn
0.871 0.907 0.350 Zn
0.129 0.093 0.650 Zn

***

# 3
Ho4AlZn2 PBE relaxed; E = -3.673 eV per atom; formation enthalpy at 0 K = -0.1589 eV per atom; DOS(E_F) = 19.248 states/eV/cell; energy relative to the lowest polymorph listed for this composition = 0.052 eV per atom
1.0
7.709 0.038 -0.066
-2.533 7.281 0.066
-2.644 -3.620 6.272
Ho Al Zn
8 2 4
direct
0.128 0.896 0.374 Ho
0.626 0.754 0.521 Ho
0.982 0.604 0.729 Ho
0.271 0.254 0.876 Ho
0.622 0.746 0.018 Ho
0.768 0.246 0.872 Ho
0.479 0.104 0.232 Ho
0.124 0.396 0.378 Ho
0.000 0.000 0.000 Al
0.750 0.500 0.250 Al
0.875 0.124 0.499 Zn
0.501 0.376 0.625 Zn
0.375 0.876 0.751 Zn
0.249 0.624 0.125 Zn

***

# 4
HoAlZn PBE relaxed; E = -3.647 eV per atom; formation enthalpy at 0 K = -0.4490 eV per atom; DOS(E_F) = 3.991 states/eV/cell
1.0
4.120 0.000 1.709
1.906 5.271 1.225
0.061 0.033 5.673
Ho Al Zn
2 2 2
direct
0.529 0.218 0.725 Ho
0.471 0.782 0.275 Ho
0.166 0.374 0.295 Al
0.834 0.626 0.705 Al
0.836 0.205 0.123 Zn
0.164 0.795 0.877 Zn

***

# 5
Ho3Al7Zn2 PBE relaxed; E = -3.950 eV per atom; formation enthalpy at 0 K = -0.4103 eV per atom; DOS(E_F) = 3.186 states/eV/cell
1.0
5.518 0.000 0.000
2.759 4.779 0.000
2.759 1.593 8.630
Ho Al Zn
3 7 2
direct
0.000 0.000 0.000 Ho
0.859 0.859 0.423 Ho
0.141 0.141 0.577 Ho
0.500 0.500 0.500 Al
0.924 0.415 0.247 Al
0.415 0.924 0.247 Al
0.415 0.415 0.247 Al
0.076 0.585 0.753 Al
0.585 0.585 0.753 Al
0.585 0.076 0.753 Al
0.665 0.665 0.006 Zn
0.335 0.335 0.994 Zn

***

# 6
Ho3AlZn3 PBE relaxed; E = -3.394 eV per atom; formation enthalpy at 0 K = -0.3519 eV per atom; DOS(E_F) = 5.738 states/eV/cell
1.0
4.366 0.000 -0.953
-0.175 3.458 -0.803
-0.092 0.506 10.062
Ho Al Zn
3 1 3
direct
0.304 0.804 0.608 Ho
0.693 0.193 0.386 Ho
0.002 0.002 0.004 Ho
0.434 0.434 0.868 Al
0.139 0.639 0.279 Zn
0.861 0.361 0.721 Zn
0.567 0.567 0.134 Zn

***

# 7
Ho3Al4Zn2 PBE relaxed; E = -3.940 eV per atom; formation enthalpy at 0 K = -0.4674 eV per atom; DOS(E_F) = 5.361 states/eV/cell
1.0
-2.406 -3.625 -1.106
5.482 -1.198 1.109
-4.559 0.831 7.193
Ho Al Zn
3 4 2
direct
0.668 0.336 0.664 Ho
0.000 0.000 0.000 Ho
0.332 0.664 0.336 Ho
0.727 0.454 0.064 Al
0.273 0.546 0.936 Al
0.951 0.902 0.619 Al
0.049 0.098 0.381 Al
0.609 0.218 0.277 Zn
0.391 0.782 0.723 Zn

***

# 8
HoAl7Zn5 PBE relaxed; E = -2.942 eV per atom; formation enthalpy at 0 K = -0.0850 eV per atom; DOS(E_F) = 5.238 states/eV/cell
1.0
-2.329 1.737 4.212
-6.902 -1.331 -0.159
-0.086 -4.871 5.070
Ho Al Zn
1 7 5
direct
0.995 0.005 0.005 Ho
0.644 0.356 0.356 Al
0.355 0.645 0.645 Al
0.002 0.353 0.643 Al
0.002 0.643 0.353 Al
0.285 0.215 0.215 Al
0.500 0.785 0.215 Al
0.500 0.215 0.785 Al
0.501 0.997 0.502 Zn
0.000 0.997 0.502 Zn
0.501 0.502 0.997 Zn
0.000 0.502 0.997 Zn
0.714 0.786 0.786 Zn

***

# 9
Ho2Al3Zn2 PBE relaxed; E = -3.670 eV per atom; formation enthalpy at 0 K = -0.3941 eV per atom; DOS(E_F) = 5.321 states/eV/cell; energy relative to the lowest polymorph listed for this composition = 0.000 eV per atom
1.0
4.241 0.000 -1.011
0.000 6.924 0.000
0.059 0.000 9.646
Ho Al Zn
4 6 4
direct
0.158 0.250 0.317 Ho
0.842 0.750 0.683 Ho
0.954 0.250 0.907 Ho
0.046 0.750 0.093 Ho
0.221 0.750 0.442 Al
0.779 0.250 0.558 Al
0.562 0.432 0.124 Al
0.438 0.568 0.876 Al
0.438 0.932 0.876 Al
0.562 0.068 0.124 Al
0.687 0.939 0.375 Zn
0.313 0.061 0.625 Zn
0.313 0.439 0.625 Zn
0.687 0.561 0.375 Zn

***

# 10
Ho2Al3Zn5 PBE relaxed; E = -2.981 eV per atom; formation enthalpy at 0 K = -0.3057 eV per atom; DOS(E_F) = 4.418 states/eV/cell
1.0
-4.135 -0.350 -0.354
0.429 -4.007 -1.054
-0.646 -2.782 10.312
Ho Al Zn
2 3 5
direct
0.500 0.000 0.248 Ho
0.000 0.500 0.752 Ho
0.500 0.000 0.645 Al
0.000 0.500 0.355 Al
0.000 0.000 0.500 Al
0.500 0.500 0.000 Zn
0.000 0.000 0.000 Zn
0.500 0.000 0.870 Zn
0.000 0.500 0.130 Zn
0.500 0.500 0.500 Zn